Record 1
Density functional theory data (PBE-GGA) for AlAg2Br after structural relaxation.

Cell and atoms, written as extended XYZ:
```
4
Lattice="3.315 -0.027 0.000 -1.537 2.937 0.000 0.000 0.000 8.832" Properties=species:S:1:pos:R:3 pbc="T T T"
Ag 0.000 0.000 0.169
Al 0.000 0.000 4.356
Br 0.889 1.455 6.337
Ag 0.889 1.455 2.385
```

Results
**ΔE to the lowest computed polymorph**: 0.41 eV/f.u.
**VASP energy**: -2.6940 eV per atom
**Formation energy from raw total energies**: 0.09 eV/atom
**SG**: No. 35
**Magnetization**: 0.000 μB per formula unit

***

Record 2
Density functional theory data (PBE-GGA) for KIrRu after structural relaxation.

Cell and atoms, written as extended XYZ:
```
6
Lattice="-1.127 2.575 -5.026 -5.698 -0.530 -0.675 3.580 4.358 1.181" Properties=species:S:1:pos:R:3 pbc="T T T"
Ru -0.337 2.351 -1.770
Ir -2.036 4.257 -4.132
K -4.699 2.936 -5.292
Ir -0.587 4.805 -2.218
Ru -1.726 1.825 -3.604
K -3.359 3.140 -1.227
```

Results
**ΔE to the lowest computed polymorph**: 0.59 eV/f.u.
**VASP energy**: -5.7724 eV per atom
**Formation enthalpy at 0 K**: 61.65 kJ per mole of atoms
**SG**: No. 44
**Magnetization**: 0.000 μB per formula unit

***

Record 3
Density functional theory data (PBE-GGA) for Rb5SnTe4 after structural relaxation.

Cell and atoms, written as extended XYZ:
```
10
Lattice="6.063 0.000 0.000 0.000 7.434 -2.507 -3.032 -3.516 11.102" Properties=species:S:1:pos:R:3 pbc="T T T"
Te 0.000 1.617 -0.366
Sn 3.032 0.000 0.000
Te 3.032 2.300 8.961
Rb 3.032 3.717 -1.254
Rb 3.032 2.633 5.480
Te 0.000 4.421 5.206
Rb 3.032 -1.050 7.092
Te 3.032 -0.504 3.389
Rb 0.000 4.967 1.503
Rb 0.000 1.284 3.115
```

Results
**ΔE to the lowest computed polymorph**: 1.08 eV/f.u.
**VASP energy**: -2.8502 eV per atom
**Formation energy from raw total energies**: -0.71 eV/atom
**SG**: No. 12
**Magnetization**: 0.000 μB per formula unit

***

Record 4
Density functional theory data (PBE-GGA) for La5Er3Tm after structural relaxation.

Cell and atoms, written as extended XYZ:
```
18
Lattice="6.900 0.000 0.000 -3.450 10.244 -4.731 0.000 -3.445 10.700" Properties=species:S:1:pos:R:3 pbc="T T T"
La -1.228 3.528 6.438
Er 0.000 -1.722 5.350
La 2.613 -2.583 8.025
La 2.222 1.549 4.882
La 4.287 -0.861 2.675
Er 1.142 4.821 4.488
Er 2.308 1.979 1.482
Tm 5.805 -2.583 8.025
La 4.678 3.272 -0.468
La -0.899 1.867 3.323
La 1.228 5.250 1.088
Er 0.000 0.000 0.000
Tm 1.095 -0.861 2.675
Er -1.142 6.543 -0.862
La 0.899 0.144 8.673
La 4.349 4.933 2.646
La 2.551 6.655 -2.704
Er 4.592 0.257 6.832
```

Results
**VASP energy**: -4.4991 eV per atom
**Formation enthalpy at 0 K**: 24.71 kJ per mole of atoms
**SG**: No. 15
**Magnetization**: 0.000 μB per formula unit

***

Record 5
Density functional theory data (PBE-GGA) for InSi2HgGe after structural relaxation.

Cell and atoms, written as extended XYZ:
```
5
Lattice="-0.908 -0.575 -4.736 1.228 -5.188 0.394 -4.638 -1.021 1.014" Properties=species:S:1:pos:R:3 pbc="T T T"
Hg 0.614 -2.594 0.197
Si -0.454 -0.287 -2.368
In -2.159 -3.392 -1.664
Si -2.319 -0.511 0.507
Ge 0.000 0.000 0.000
```

Results
**VASP energy**: -2.9597 eV per atom
**Formation energy from raw total energies**: 0.74 eV/atom
**SG**: No. 123
**Magnetization**: 0.000 μB per formula unit

***

Record 6
Density functional theory data (PBE-GGA) for KSnSb2P after structural relaxation.

Cell and atoms, written as extended XYZ:
```
5
Lattice="5.803 0.000 0.000 0.000 5.724 0.000 0.000 0.000 5.803" Properties=species:S:1:pos:R:3 pbc="T T T"
Sb 0.000 0.000 2.902
Sb 2.902 0.000 0.000
Sn 0.000 2.862 0.000
K 0.000 0.000 0.000
P 2.902 2.862 2.902
```

Results
**VASP energy**: -2.0779 eV per atom
**Formation energy from raw total energies**: 1.67 eV/atom
**SG**: No. 123
**Magnetization**: 0.001 μB per formula unit

***

Record 7
Density functional theory data (PBE-GGA) for Pm4Pr7Sc after structural relaxation.

Cell and atoms, written as extended XYZ:
```
12
Lattice="-0.976 1.740 7.041 -2.281 -4.306 8.362 7.797 -4.097 4.009" Properties=species:S:1:pos:R:3 pbc="T T T"
Pr 6.402 -5.803 9.982
Sc 0.000 0.000 0.000
Pr 1.475 -0.747 8.003
Pm 0.559 -3.368 10.405
Pm 1.981 -1.665 4.486
Pr -0.488 0.870 3.520
Pr 3.489 -2.436 12.489
Pm 3.980 -3.295 9.007
Pr -1.863 -0.860 9.429
Pm 2.558 -4.998 14.925
Pr 3.065 -5.916 11.408
Pr 1.050 -4.227 6.922
```

Results
**ΔE to the lowest computed polymorph**: 0.00 eV/f.u.
**VASP energy**: -4.8730 eV per atom
**Formation enthalpy at 0 K**: 2.53 kJ per mole of atoms
**SG**: No. 2
**Magnetization**: 0.000 μB per formula unit

***

Record 8
Density functional theory data (PBE-GGA) for SmThAlTl after structural relaxation.

Cell and atoms, written as extended XYZ:
```
4
Lattice="-1.362 -4.650 2.357 3.833 -3.324 1.815 0.718 -0.645 5.301" Properties=species:S:1:pos:R:3 pbc="T T T"
Tl 0.000 0.000 0.000
Th 0.797 -2.155 2.368
Al 1.595 -4.310 4.736
Sm 2.392 -6.465 7.105
```

Results
**VASP energy**: -4.7583 eV per atom
**Formation enthalpy at 0 K**: -18.94 kJ per mole of atoms
**SG**: No. 216
**Magnetization**: 0.000 μB per formula unit

***

Record 9
Density functional theory data (PBE-GGA) for NaTbTm after structural relaxation.

Cell and atoms, written as extended XYZ:
```
6
Lattice="4.368 0.000 0.000 0.000 4.368 0.000 0.000 0.000 11.326" Properties=species:S:1:pos:R:3 pbc="T T T"
Tm 0.000 0.000 0.000
Tb 0.000 2.184 8.644
Tb 2.184 0.000 2.682
Na 2.184 0.000 6.618
Na 0.000 2.184 4.708
Tm 2.184 2.184 0.000
```

Results
**ΔE to the lowest computed polymorph**: 0.94 eV/f.u.
**VASP energy**: -3.0140 eV per atom
**Formation enthalpy at 0 K**: 44.34 kJ per mole of atoms
**SG**: No. 129
**Magnetization**: 0.000 μB per formula unit

***

Record 10
Density functional theory data (PBE-GGA) for NaGdIn2 after structural relaxation.

Cell and atoms, written as extended XYZ:
```
4
Lattice="-1.278 -2.042 3.012 4.961 -0.745 1.600 -0.265 4.405 2.873" Properties=species:S:1:pos:R:3 pbc="T T T"
Gd 1.709 0.809 3.743
Na -0.639 -1.021 1.506
In -0.133 2.202 1.437
In 2.480 -0.373 0.800
```

Results
**VASP energy**: -5.5306 eV per atom
**Formation enthalpy at 0 K**: -30.05 kJ per mole of atoms
**SG**: No. 123
**Magnetization**: 7.066 μB per formula unit

***

Record 11
Density functional theory data (PBE-GGA) for SiCBr2 after structural relaxation.

Cell and atoms, written as extended XYZ:
```
4
Lattice="0.000 3.400 3.400 3.400 0.000 3.400 3.400 3.400 0.000" Properties=species:S:1:pos:R:3 pbc="T T T"
Br 5.100 5.100 5.100
Br 1.700 1.700 1.700
C 0.000 0.000 0.000
Si 3.400 3.400 3.400
```

Results
**ΔE to the lowest computed polymorph**: 0.73 eV/f.u.
**VASP energy**: -2.6919 eV per atom
**Formation energy from raw total energies**: 1.81 eV/atom
**SG**: No. 225
**Magnetization**: 1.576 μB per formula unit

***

Record 12
Density functional theory data (PBE-GGA) for LiPPb after structural relaxation.

Cell and atoms, written as extended XYZ:
```
6
Lattice="-1.113 -2.421 -2.845 3.212 0.871 -1.997 4.706 -5.236 5.285" Properties=species:S:1:pos:R:3 pbc="T T T"
Pb 3.657 -6.289 1.251
Li 2.877 -3.004 1.431
Pb 3.149 -0.496 -0.809
Li 3.929 -3.781 -0.989
P 1.516 -2.964 -0.741
P 5.290 -3.821 1.183
```

Results
**ΔE to the lowest computed polymorph**: 0.02 eV/f.u.
**VASP energy**: -3.9084 eV per atom
**Formation enthalpy at 0 K**: -22.29 kJ per mole of atoms
**SG**: No. 63
**Magnetization**: 0.000 μB per formula unit